No. 1
Below is a relaxed ErZn2GaAu5 crystal, with properties calculated at the PBE level.

Geometry as extended XYZ:
```
9
Lattice="4.7842 0.0000 0.0000 0.0000 5.6876 0.0000 -2.3921 -2.8438 6.9658" Properties=species:S:1:pos:R:3 pbc="T T T"
Ga 2.3921 0.0000 0.0000
Au 2.3921 4.2107 2.1406
Au 0.0000 -1.3669 4.8253
Au 0.0000 1.3669 4.8253
Au 2.3921 1.4769 2.1406
Au 0.0000 0.0000 0.0000
Zn 2.3921 2.8438 4.3637
Zn 0.0000 0.0000 2.6022
Er 0.0000 2.8438 0.0000
```

Computed properties:
density	11.85	Mg/m³
energy of formation from the pure elements	-177	meV/atom
size of the total moment	0.00	μB/f.u.
final energy	-28.11	eV/cell

No. 2
Below is a relaxed ErHfTl crystal, with properties calculated at the PBE level.

Geometry as extended XYZ:
```
6
Lattice="4.3022 0.0837 -0.0342 0.0628 4.3025 -0.0342 -2.1104 -2.1207 8.7612" Properties=species:S:1:pos:R:3 pbc="T T T"
Hf 2.2120 2.2228 4.3277
Hf 0.0425 0.0427 4.3652
Tl 3.2934 3.3094 1.7774
Tl -1.0388 -1.0439 6.9154
Er 1.1061 1.1114 1.3173
Er 1.1485 1.1541 7.3755
```

Computed properties:
density	11.31	Mg/m³
energy of formation from the pure elements	171	meV/atom
size of the total moment	0.00	μB/f.u.
final energy	-32.74	eV/cell

No. 3
Below is a relaxed Pm2Zn2Ag15 crystal, with properties calculated at the PBE level.

Geometry as extended XYZ:
```
19
Lattice="7.2950 0.0249 0.0222 0.9711 7.2301 0.0222 0.9711 0.8523 7.1798" Properties=species:S:1:pos:R:3 pbc="T T T"
Ag 2.8889 5.0450 0.0222
Ag 3.6475 0.0124 0.0111
Ag 0.9711 2.7865 5.0091
Ag 3.7129 6.4108 2.5393
Ag 0.9711 5.2959 2.1928
Ag 5.5243 4.8486 1.1472
Ag 2.8889 0.6014 5.0091
Ag 5.3771 2.2100 0.0222
Ag 0.4855 0.4261 3.5899
Ag 6.8384 2.8498 2.5393
Ag 3.7129 3.2587 6.0768
Ag 5.5243 1.6964 4.6848
Ag 0.4855 3.6151 0.0111
Ag 2.3988 5.2575 4.6848
Ag 5.3771 0.2758 2.1928
Pm 6.0459 5.3064 4.7283
Pm 3.1912 2.8009 2.4958
Zn 8.2929 7.2786 6.4856
Zn 0.9442 0.8287 0.7384
```

Computed properties:
density	8.95	Mg/m³
energy of formation from the pure elements	-57	meV/atom
size of the total moment	0.00	μB/f.u.
final energy	-55.89	eV/cell

No. 4
Below is a relaxed Ti2TlRu crystal, with properties calculated at the PBE level.

Geometry as extended XYZ:
```
4
Lattice="2.0179 -3.9096 1.3384 2.3655 -0.1345 3.9414 -1.6611 -2.3295 3.6003" Properties=species:S:1:pos:R:3 pbc="T T T"
Tl 1.3612 -3.1868 4.4400
Ti 0.6806 -1.5934 2.2200
Ti 2.0418 -4.7802 6.6600
Ru 0.0000 0.0000 0.0000
```

Computed properties:
density	9.69	Mg/m³
energy of formation from the pure elements	-22	meV/atom
size of the total moment	0.00	μB/f.u.
final energy	-27.52	eV/cell

No. 5
Below is a relaxed NdEu2Gd crystal, with properties calculated at the PBE level.

Geometry as extended XYZ:
```
4
Lattice="-3.9796 4.4044 -0.0087 -5.6744 -1.1296 -1.3271 -4.1479 0.2606 4.2383" Properties=species:S:1:pos:R:3 pbc="T T T"
Eu -10.3515 2.6516 2.1768
Eu -3.4505 0.8839 0.7256
Gd -6.9010 1.7677 1.4512
Nd 0.0000 0.0000 0.0000
```

Computed properties:
density	6.80	Mg/m³
energy of formation from the pure elements	140	meV/atom
size of the total moment	21.86	μB/f.u.
final energy	-38.84	eV/cell

No. 6
Below is a relaxed PaSi2TcRh crystal, with properties calculated at the PBE level.

Geometry as extended XYZ:
```
5
Lattice="-3.1710 1.3465 -2.3619 -2.4986 -2.8736 1.7165 1.5963 3.9026 3.7751" Properties=species:S:1:pos:R:3 pbc="T T T"
Tc -2.2048 2.2428 0.5452
Si -0.9279 2.3518 2.5865
Si -3.1454 0.0237 0.5431
Pa 0.0000 0.0000 0.0000
Rh -1.8686 0.1328 2.5844
```

Computed properties:
density	9.62	Mg/m³
formation energy (no corrections)	-0.827	eV per atom
size of the total moment	0.00	μB/f.u.
final energy	-42.19	eV/cell

No. 7
Below is a relaxed KCeHg2 crystal, with properties calculated at the PBE level.

Geometry as extended XYZ:
```
4
Lattice="5.5485 0.0000 0.0000 2.7743 4.8052 0.0000 2.7743 1.6017 4.5304" Properties=species:S:1:pos:R:3 pbc="T T T"
K 5.5485 3.2035 2.2652
Hg 8.3228 4.8052 3.3978
Hg 2.7743 1.6017 1.1326
Ce 0.0000 0.0000 0.0000
```

Computed properties:
density	7.98	Mg/m³
energy of formation from the pure elements	-96	meV/atom
size of the total moment	1.55	μB/f.u.
final energy	-8.02	eV/cell

No. 8
Below is a relaxed Tl2IrW crystal, with properties calculated at the PBE level.

Geometry as extended XYZ:
```
4
Lattice="-0.6653 -0.6388 -2.9070 2.8234 -0.5024 1.0380 -2.5082 -8.8779 2.5248" Properties=species:S:1:pos:R:3 pbc="T T T"
Ir -0.8021 -7.2290 0.9591
Tl -1.2732 -4.5065 1.2816
Tl -2.4891 -8.8104 2.5056
W 0.4520 -2.7901 -0.3033
```

Computed properties:
density	16.82	Mg/m³
energy of formation from the pure elements	932	meV/atom
size of the total moment	0.00	μB/f.u.
final energy	-22.82	eV/cell

Repeat the fifth record exactly.
Below is a relaxed NdEu2Gd crystal, with properties calculated at the PBE level.

Geometry as extended XYZ:
```
4
Lattice="-3.9796 4.4044 -0.0087 -5.6744 -1.1296 -1.3271 -4.1479 0.2606 4.2383" Properties=species:S:1:pos:R:3 pbc="T T T"
Eu -10.3515 2.6516 2.1768
Eu -3.4505 0.8839 0.7256
Gd -6.9010 1.7677 1.4512
Nd 0.0000 0.0000 0.0000
```

Computed properties:
density	6.80	Mg/m³
energy of formation from the pure elements	140	meV/atom
size of the total moment	21.86	μB/f.u.
final energy	-38.84	eV/cell

- The highest final energy belongs to which entry?
  KCeHg2

- Look up the final energy of the second one.
  -32.74 eV/cell

- What is the formula in the third record?
  Pm2Zn2Ag15